Record 1
Here is a relaxed LaBeZnHRhS crystal from Alexandria via LeMat-Bulk. Energies are from PBE.

a = 4.004 Å, b = 4.532 Å, c = 6.301 Å
α = 81.40°, β = 72.73°, γ = 64.00°
Space group P1 (No. 1)
One atom of each set of equivalent atoms:
La 0.000 0.000 0.000 x1
Be 0.705 0.100 0.500 x1
Zn 0.138 0.397 0.333 x1
H 0.092 0.062 0.589 x1
Rh 0.412 0.770 0.420 x1
S 0.399 0.403 0.778 x1

Calculated values
- DOS at the Fermi energy: 0.15 states/eV per atom
- E: -4.771 eV/atom
- Density: 5.9 g/cm³

Record 2
Here is a relaxed HgGeH3 crystal from Alexandria via LeMat-Bulk. Energies are from PBE.

a = 3.949 Å, b = 3.949 Å, c = 3.949 Å
α = 90.00°, β = 90.00°, γ = 90.00°
Space group Pm-3m (No. 221)
One atom of each set of equivalent atoms:
Hg 0.000 0.000 0.000 x1
Ge 0.500 0.500 0.500 x1
H 0.000 0.000 0.500 x3

Calculated values
- DOS at the Fermi energy: 0.34 states/eV per atom
- E: -2.153 eV/atom
- Density: 7.5 g/cm³

Record 3
Here is a relaxed Zn2InAu crystal from Alexandria via LeMat-Bulk. Energies are from PBE.

a = 3.7090 Å, b = 3.7090 Å, c = 21.0898 Å
α = 90.00°, β = 90.00°, γ = 120.00°
Space group R3m (No. 160, hexagonal axes)
One atom of each set of equivalent atoms:
Zn 0.0000 0.0000 0.0000 x3
Zn 0.0000 0.0000 0.1878 x3
In 0.0000 0.0000 0.7605 x3
Au 0.0000 0.0000 0.5948 x3

Calculated values
- DOS at the Fermi energy: 0.25 states/eV per atom
- Energy relative to the elements: 0.023 eV per atom
- Density: 8.8 g/cm³

- Which value of density does entry 2 give?
  7.5 g/cm³

- Among the records above, which one has the lowest DOS at the Fermi energy?
  LaBeZnHRhS